# Mg3Co2 meta-GGA SCAN PBEsol geometry
data_Mg3Co2
_space_group_name_H-M_alt 'R -3 m'
_space_group_IT_number 166
_space_group_name_Hall '-R 3 2"'
_cell_length_a 2.8465
_cell_length_b 2.8465
_cell_length_c 32.9260
_cell_angle_alpha 90.00
_cell_angle_beta 90.00
_cell_angle_gamma 120.00
loop_
_atom_site_label
_atom_site_type_symbol
_atom_site_fract_x
_atom_site_fract_y
_atom_site_fract_z
Mg1 Mg 0.0000 0.0000 0.0000
Mg2 Mg 0.0000 0.0000 0.2081
Co1 Co 0.0000 0.0000 0.3967
# E_form in eV per atom: 0.215
# D(E_F) in states/eV/atom: 0.51
# Total magnetic moment in μB/cell: 7.927
# V in Å³ per cell: 231